No. 1
Compound: Li6TlPb2
Source: Alexandria
Functional: PBE
Structure: optimized geometry

Structure (CIF):
```
data_Li6TlPb2
_cell_length_a 5.707
_cell_length_b 5.707
_cell_length_c 5.562
_cell_angle_alpha 93.34
_cell_angle_beta 93.34
_cell_angle_gamma 91.94
_space_group_name_H-M_alt 'P 1'
_space_group_IT_number 1
loop_
_space_group_symop_operation_xyz
'x,y,z'
loop_
_atom_site_label
_atom_site_fract_x
_atom_site_fract_y
_atom_site_fract_z
_atom_site_occupancy
Li1 0.166 0.499 0.332 1
Li2 0.167 0.833 0.000 1
Li3 0.499 0.166 0.332 1
Li4 0.501 0.834 0.668 1
Li5 0.833 0.167 0.000 1
Li6 0.834 0.501 0.668 1
Tl1 0.000 0.000 0.500 1
Pb1 0.329 0.329 0.830 1
Pb2 0.671 0.671 0.170 1
```

## Properties
Total energy, eV/cell: -23.6
E_form, meV per atom: -256
Mass density, Mg/m³: 6.1
V, Å³/cell: 180
DOS(E_F), states/eV/cell: 2.47

***

No. 2
Compound: TiCrCuS4
Source: Alexandria
Functional: PBE
Structure: optimized geometry

Structure (CIF):
```
data_TiCrCuS4
_cell_length_a 3.444
_cell_length_b 12.796
_cell_length_c 10.965
_cell_angle_alpha 90.00
_cell_angle_beta 90.00
_cell_angle_gamma 90.00
_space_group_name_H-M_alt 'P 1'
_space_group_IT_number 1
loop_
_space_group_symop_operation_xyz
'x,y,z'
loop_
_atom_site_label
_atom_site_fract_x
_atom_site_fract_y
_atom_site_fract_z
_atom_site_occupancy
Ti1 0.000 0.165 0.000 1
Ti2 0.000 0.298 0.526 1
Ti3 0.000 0.702 0.026 1
Ti4 0.000 0.835 0.500 1
Cr1 0.500 0.123 0.356 1
Cr2 0.500 0.403 0.893 1
Cr3 0.500 0.597 0.393 1
Cr4 0.500 0.877 0.856 1
Cu1 0.000 0.141 0.725 1
Cu2 0.000 0.859 0.225 1
Cu3 0.500 0.470 0.142 1
Cu4 0.500 0.530 0.642 1
S1 0.000 0.006 0.868 1
S2 0.000 0.246 0.325 1
S3 0.000 0.356 0.045 1
S4 0.000 0.422 0.739 1
S5 0.000 0.578 0.239 1
S6 0.000 0.644 0.545 1
S7 0.000 0.754 0.825 1
S8 0.000 0.994 0.368 1
S9 0.500 0.110 0.135 1
S10 0.500 0.162 0.573 1
S11 0.500 0.224 0.854 1
S12 0.500 0.421 0.470 1
S13 0.500 0.579 0.970 1
S14 0.500 0.776 0.354 1
S15 0.500 0.838 0.073 1
S16 0.500 0.890 0.635 1
```

## Properties
Total energy, eV/cell: -173.3
Mass density, Mg/m³: 4.0
Raw formation energy, eV/f.u.: -5.19
Distance to the lowest polymorph of the same formula, meV/atom: 162
V, Å³/cell: 483
DOS(E_F), states/eV/cell: 7.54

***

No. 3
Compound: HoPuS2
Source: Alexandria
Functional: PBE
Structure: optimized geometry

Structure (CIF):
```
data_HoPuS2
_cell_length_a 3.917
_cell_length_b 3.917
_cell_length_c 11.091
_cell_angle_alpha 90.00
_cell_angle_beta 90.00
_cell_angle_gamma 90.00
_space_group_name_H-M_alt 'P 1'
_space_group_IT_number 1
loop_
_space_group_symop_operation_xyz
'x,y,z'
loop_
_atom_site_label
_atom_site_fract_x
_atom_site_fract_y
_atom_site_fract_z
_atom_site_occupancy
Ho1 0.250 0.250 0.128 1
Ho2 0.750 0.750 0.872 1
Pu1 0.250 0.250 0.627 1
Pu2 0.750 0.750 0.373 1
S1 0.250 0.250 0.375 1
S2 0.250 0.250 0.880 1
S3 0.750 0.750 0.120 1
S4 0.750 0.750 0.625 1
```

## Properties
Total energy, eV/cell: -69.4
Mass density, Mg/m³: 9.2
Raw formation energy, eV/f.u.: -7.56
Distance to the lowest polymorph of the same formula, meV/atom: 12
V, Å³/cell: 170
DOS(E_F), states/eV/cell: 16.97

***

Question: Which of these has the lowest total energy?
Answer: TiCrCuS4

***

Question: Which value of total energy does entry 2 give?
Answer: -173.3 eV/cell

***

Question: mass density of number 3 (HoPuS2)?
Answer: 9.2 Mg/m³